(a)
Crystalline Hf2ScZnO at its relaxed geometry. Source: the Alexandria database, functional PBE-GGA.

Volume ... 83.7 Å³/cell
Calculated density ... 9.59 g/cm³

Cell: 4.374 4.374 4.375 Å, 90.00 90.00 90.00°
Space group P4/mmm (No. 123)
Asymmetric unit:
1 Hf 0.000 0.500 0.000 [2 per cell]
2 Sc 0.000 0.000 0.500 [1 per cell]
3 Zn 0.500 0.500 0.500 [1 per cell]
4 O 0.000 0.000 0.000 [1 per cell]

(b)
Crystalline Hf2ScZnO at its relaxed geometry. Source: the Alexandria database, functional PBE-GGA.

Volume ... 90.4 Å³/cell
Calculated density ... 8.88 g/cm³

Cell: 4.293 4.293 4.904 Å, 90.00 90.00 90.00°
Space group P4/mmm (No. 123)
Asymmetric unit:
1 Hf 0.000 0.500 0.000 [2 per cell]
2 Sc 0.000 0.000 0.500 [1 per cell]
3 Zn 0.500 0.500 0.500 [1 per cell]
4 O 0.500 0.500 0.000 [1 per cell]

Referenced to the most stable arrangement, the calculated values in kJ/mol of atoms are (a) 0.0; (b) 25.2.

(a)
Crystalline Hf2ZrScO at its relaxed geometry. Source: the Alexandria database, functional PBE-GGA.

Volume ... 93.2 Å³/cell
Calculated density ... 9.07 g/cm³

Cell: 4.483 4.483 4.635 Å, 90.00 90.00 90.00°
Space group P4/mmm (No. 123)
Asymmetric unit:
1 Hf 0.000 0.500 0.000 [2 per cell]
2 Zr 0.000 0.000 0.500 [1 per cell]
3 Sc 0.500 0.500 0.500 [1 per cell]
4 O 0.000 0.000 0.000 [1 per cell]

(b)
Crystalline Hf2ZrScO at its relaxed geometry. Source: the Alexandria database, functional PBE-GGA.

Volume ... 91.9 Å³/cell
Calculated density ... 9.20 g/cm³

Cell: 4.522 4.522 4.495 Å, 90.00 90.00 90.00°
Space group P4/mmm (No. 123)
Asymmetric unit:
1 Hf 0.000 0.500 0.000 [2 per cell]
2 Zr 0.000 0.000 0.500 [1 per cell]
3 Sc 0.500 0.500 0.500 [1 per cell]
4 O 0.500 0.500 0.000 [1 per cell]

Referenced to the most stable arrangement, the calculated values in kJ/mol of atoms are (a) 5.7; (b) 0.0.

(a)
Crystalline HfZr2ScO at its relaxed geometry. Source: the Alexandria database, functional PBE-GGA.

Volume ... 126.3 Å³/cell
Calculated density ... 5.55 g/cm³

Cell: 5.719 5.719 3.860 Å, 90.00 90.00 90.00°
Space group P4/mmm (No. 123)
Asymmetric unit:
1 Hf 0.000 0.000 0.000 [1 per cell]
2 Zr 0.000 0.500 0.000 [2 per cell]
3 Sc 0.500 0.500 0.500 [1 per cell]
4 O 0.000 0.000 0.500 [1 per cell]

(b)
Crystalline HfZr2ScO at its relaxed geometry. Source: the Alexandria database, functional PBE-GGA.

Volume ... 93.2 Å³/cell
Calculated density ... 7.52 g/cm³

Cell: 4.621 4.621 4.363 Å, 90.00 90.00 90.00°
Space group P4/mmm (No. 123)
Asymmetric unit:
1 Hf 0.000 0.000 0.000 [1 per cell]
2 Zr 0.000 0.500 0.500 [2 per cell]
3 Sc 0.500 0.500 0.000 [1 per cell]
4 O 0.500 0.500 0.500 [1 per cell]

(c)
Crystalline HfZr2ScO at its relaxed geometry. Source: the Alexandria database, functional PBE-GGA.

Volume ... 94.3 Å³/cell
Calculated density ... 7.43 g/cm³

Cell: 4.615 4.615 4.426 Å, 90.00 90.00 90.00°
Space group P4/mmm (No. 123)
Asymmetric unit:
1 Hf 0.000 0.000 0.000 [1 per cell]
2 Zr 0.000 0.500 0.500 [2 per cell]
3 Sc 0.500 0.500 0.000 [1 per cell]
4 O 0.000 0.000 0.500 [1 per cell]

Referenced to the most stable arrangement, the calculated values in kJ/mol of atoms are (a) 117.7; (b) 0.0; (c) 5.7.

(a)
Crystalline HfSi3O at its relaxed geometry. Source: the Alexandria database, functional PBE-GGA.

Volume ... 70.9 Å³/cell
Calculated density ... 6.53 g/cm³

Cell: 4.139 4.139 4.139 Å, 90.00 90.00 90.00°
Space group Pm-3m (No. 221)
Asymmetric unit:
1 Hf 0.000 0.000 0.000 [1 per cell]
2 Si 0.000 0.500 0.500 [3 per cell]
3 O 0.500 0.500 0.500 [1 per cell]

(b)
Crystalline HfSi3O at its relaxed geometry. Source: the Alexandria database, functional PBE-GGA.

Volume ... 130.3 Å³/cell
Calculated density ... 3.55 g/cm³

Cell: 5.069 5.069 5.069 Å, 90.00 90.00 90.00°
Space group Pm-3m (No. 221)
Asymmetric unit:
1 Hf 0.000 0.000 0.000 [1 per cell]
2 Si 0.000 0.000 0.500 [3 per cell]
3 O 0.500 0.500 0.500 [1 per cell]

Referenced to the most stable arrangement, the calculated values in kJ/mol of atoms are (a) 0.0; (b) 147.7.

(a)
Crystalline Hf2SnO at its relaxed geometry. Source: the Alexandria database, functional PBE-GGA.

Volume ... 291.9 Å³/cell
Calculated density ... 11.19 g/cm³

Cell: 6.634 6.634 6.634 Å, 90.00 90.00 90.00°
Space group Fm-3m (No. 225)
Asymmetric unit:
1 Hf 0.250 0.250 0.250 [8 per cell]
2 Sn 0.000 0.000 0.000 [4 per cell]
3 O 0.000 0.000 0.500 [4 per cell]

(b)
Crystalline Hf2SnO at its relaxed geometry. Source: the Alexandria database, functional PBE-GGA.

Volume ... 307.5 Å³/cell
Calculated density ... 10.62 g/cm³

Cell: 6.715 6.715 6.820 Å, 90.00 90.00 90.00°
Space group I-42d (No. 122)
Asymmetric unit:
1 Hf 0.135 0.250 0.125 [8 per cell]
2 Sn 0.000 0.000 0.500 [4 per cell]
3 O 0.000 0.000 0.000 [4 per cell]

Referenced to the most stable arrangement, the calculated values in kJ/mol of atoms are (a) 91.5; (b) 0.0.

(a)
Crystalline HfSn3O at its relaxed geometry. Source: the Alexandria database, functional PBE-GGA.

Volume ... 170.1 Å³/cell
Calculated density ... 5.38 g/cm³

Cell: 5.540 5.540 5.540 Å, 90.00 90.00 90.00°
Space group Pm-3m (No. 221)
Asymmetric unit:
1 Hf 0.000 0.000 0.000 [1 per cell]
2 Sn 0.000 0.000 0.500 [3 per cell]
3 O 0.500 0.500 0.500 [1 per cell]

(b)
Crystalline HfSn3O at its relaxed geometry. Source: the Alexandria database, functional PBE-GGA.

Volume ... 103.9 Å³/cell
Calculated density ... 8.80 g/cm³

Cell: 4.701 4.701 4.701 Å, 90.00 90.00 90.00°
Space group Pm-3m (No. 221)
Asymmetric unit:
1 Hf 0.000 0.000 0.000 [1 per cell]
2 Sn 0.000 0.500 0.500 [3 per cell]
3 O 0.500 0.500 0.500 [1 per cell]

Referenced to the most stable arrangement, the calculated values in kJ/mol of atoms are (a) 107.2; (b) 0.0.